Record 1
The following is a PBE calculation of a geometry-optimized HfAl3In structure, from Alexandria.

Lattice parameters (Å, degrees): 5.0242 5.0242 5.0242 90.00 90.00 90.00
Closest atoms and distances in Å follow each position.
Atoms (fractional coordinates):
Hf: 0.0000 0.0000 0.0000  12 Al 3.55
Al: 0.0000 0.5000 0.5000  2 In 2.51
Al: 0.5000 0.0000 0.5000  2 In 2.51
Al: 0.5000 0.5000 0.0000  2 In 2.51
In: 0.5000 0.5000 0.5000  6 Al 2.51

Symmetry: Pm-3m (221)
DFT formation energy (eV per atom): 1.10
Energy above the most stable polymorph in this dataset (kJ/mol of atoms): 22.6


Record 2
The following is a PBE calculation of a geometry-optimized CrCoP2 structure, from Alexandria.

Lattice parameters (Å, degrees): 5.6541 5.6541 5.6541 90.00 90.00 90.00
Closest atoms and distances in Å follow each position.
Atoms (fractional coordinates):
Cr: 0.0000 0.0000 0.0000  8 P 2.45
Cr: 0.0000 0.5000 0.5000  8 P 2.45
Cr: 0.5000 0.0000 0.5000  8 P 2.45
Cr: 0.5000 0.5000 0.0000  8 P 2.45
Co: 0.0000 0.0000 0.5000  8 P 2.45
Co: 0.0000 0.5000 0.0000  8 P 2.45
Co: 0.5000 0.0000 0.0000  8 P 2.45
Co: 0.5000 0.5000 0.5000  8 P 2.45
P: 0.2500 0.2500 0.2500  4 Cr 2.45, 4 Co 2.45
P: 0.2500 0.2500 0.7500  4 Cr 2.45, 4 Co 2.45
P: 0.2500 0.7500 0.2500  4 Cr 2.45, 4 Co 2.45
P: 0.2500 0.7500 0.7500  4 Cr 2.45, 4 Co 2.45
P: 0.7500 0.2500 0.2500  4 Cr 2.45, 4 Co 2.45
P: 0.7500 0.2500 0.7500  4 Cr 2.45, 4 Co 2.45
P: 0.7500 0.7500 0.2500  4 Cr 2.45, 4 Co 2.45
P: 0.7500 0.7500 0.7500  4 Co 2.45, 4 Cr 2.45

Symmetry: Fm-3m (225)
DFT formation energy (eV per atom): -0.15
Energy above the most stable polymorph in this dataset (kJ/mol of atoms): 18.1


Record 3
The following is a PBE calculation of a geometry-optimized Na4DyTa3O12 structure, from Alexandria.

Lattice parameters (Å, degrees): 7.0996 7.0996 7.0996 109.47 109.47 109.47
Closest atoms and distances in Å follow each position.
Atoms (fractional coordinates):
Na: 0.0000 0.0000 0.5000  12 O 2.90
Na: 0.0000 0.5000 0.0000  12 O 2.90
Na: 0.5000 0.0000 0.0000  12 O 2.90
Na: 0.5000 0.5000 0.5000  12 O 2.90
Dy: 0.0000 0.0000 0.0000  6 O 2.18
Ta: 0.0000 0.5000 0.5000  6 O 1.92-2.05
Ta: 0.5000 0.0000 0.5000  6 O 1.92-2.05
Ta: 0.5000 0.5000 0.0000  6 O 1.92-2.05
O: 0.0000 0.2662 0.2662  1 Ta 1.92
O: 0.0000 0.7338 0.7338  1 Ta 1.92
O: 0.2500 0.5000 0.7500  2 Ta 2.05
O: 0.2500 0.7500 0.5000  2 Ta 2.05
O: 0.2662 0.0000 0.2662  1 Ta 1.92
O: 0.2662 0.2662 0.0000  1 Ta 1.92
O: 0.5000 0.2500 0.7500  2 Ta 2.05
O: 0.5000 0.7500 0.2500  2 Ta 2.05
O: 0.7338 0.0000 0.7338  1 Ta 1.92
O: 0.7338 0.7338 0.0000  1 Ta 1.92
O: 0.7500 0.2500 0.5000  2 Ta 2.05
O: 0.7500 0.5000 0.2500  2 Ta 2.05

Energy relative to the elements, uncorrected (kJ per mole of atoms): -233.4
Symmetry: Im-3m (229)